# 1
This record from the Alexandria database describes a relaxed BeNbRh crystal. The functional is GGA-PBEsol.

a = 4.679 Å, b = 4.679 Å, c = 4.679 Å
α = 75.76°, β = 74.97°, γ = 119.65°
Positions (direct):
Rh 0.913 0.159 0.428
Nb 0.598 0.487 0.415
Rh 0.087 0.659 0.754
Be 0.500 0.589 0.911
Be 0.000 0.089 0.911
Nb 0.402 0.987 0.111

# 2
This record from the Alexandria database describes a relaxed Dy7Co6Sn23 crystal. The functional is GGA-PBEsol.

a = 9.536 Å, b = 9.536 Å, c = 9.778 Å
α = 90.00°, β = 90.00°, γ = 120.00°
Positions (direct):
Sn 0.333 0.667 0.115
Sn 0.000 0.653 0.000
Sn 0.117 0.883 0.274
Co 0.664 0.832 0.802
Sn 0.347 0.000 0.000
Sn 0.782 0.565 0.453
Sn 0.000 0.000 0.500
Dy 0.957 0.478 0.693
Sn 0.000 0.347 0.000
Sn 0.883 0.765 0.726
Dy 0.000 0.000 0.000
Sn 0.653 0.000 0.000
Sn 0.117 0.235 0.274
Co 0.168 0.832 0.802
Dy 0.522 0.478 0.693
Sn 0.235 0.117 0.726
Dy 0.043 0.522 0.307
Sn 0.565 0.782 0.547
Sn 0.218 0.782 0.547
Sn 0.347 0.347 0.000
Sn 0.883 0.117 0.726
Sn 0.333 0.667 0.819
Sn 0.667 0.333 0.181
Sn 0.667 0.333 0.885
Co 0.832 0.168 0.198
Sn 0.765 0.883 0.274
Co 0.832 0.664 0.198
Sn 0.653 0.653 0.000
Dy 0.478 0.957 0.307
Sn 0.218 0.435 0.547
Sn 0.782 0.218 0.453
Dy 0.478 0.522 0.307
Co 0.336 0.168 0.198
Dy 0.522 0.043 0.693
Sn 0.435 0.218 0.453
Co 0.168 0.336 0.802

# 3
This record from the Alexandria database describes a relaxed RbNiPt3 crystal. The functional is GGA-PBEsol.

a = 4.892 Å, b = 4.892 Å, c = 4.892 Å
α = 90.00°, β = 90.00°, γ = 90.00°
Positions (direct):
Pt 0.000 0.000 0.500
Rb 0.000 0.000 0.000
Pt 0.000 0.500 0.000
Pt 0.500 0.000 0.000
Ni 0.500 0.500 0.500

# 4
This record from the Alexandria database describes a relaxed BaHg2Pt crystal. The functional is GGA-PBEsol.

a = 4.408 Å, b = 4.408 Å, c = 5.249 Å
α = 90.00°, β = 90.00°, γ = 90.00°
Positions (direct):
Hg 0.000 0.500 0.000
Hg 0.500 0.000 0.000
Pt 0.500 0.500 0.500
Ba 0.000 0.000 0.500

| no. | energy relative to the elements (eV/atom) |
| --- | --- |
| 1 | -0.4416 |
| 2 | -0.4823 |
| 3 | 2.7812 |
| 4 | -0.2257 |